Record 1
A plane-wave DFT calculation with PBE was carried out for RbHg3PtO4 after structural relaxation.

Lattice parameters (Å, degrees): 5.7774 5.7774 5.7774 90.00 90.00 90.00
Closest atoms and distances in Å follow each position.
Space group P-43m (No. 215)
Inequivalent atoms, fractional coordinates:
Rb (0.0000, 0.0000, 0.0000) [1 per cell]  4 O 2.80
Hg (0.0000, 0.5000, 0.5000) [3 per cell]  4 O 2.42
Pt (0.5000, 0.5000, 0.5000) [1 per cell]  4 O 2.21
O (0.2793, 0.2793, 0.2793) [4 per cell]  1 Pt 2.21, 3 Hg 2.42


Record 2
A plane-wave DFT calculation with PBE was carried out for HgPtSO after structural relaxation.

Lattice parameters (Å, degrees): 4.7324 4.7324 6.7606 90.00 90.00 90.00
Closest atoms and distances in Å follow each position.
Space group P4/nmm (No. 129, origin choice 2)
Inequivalent atoms, fractional coordinates:
Hg (0.2500, 0.2500, 0.1790) [2 per cell]  1 O 2.06
Pt (0.2500, 0.2500, 0.5780) [2 per cell]  1 O 2.00
S (0.2500, 0.7500, 0.5000) [2 per cell]  4 Pt 2.42
O (0.2500, 0.2500, 0.8736) [2 per cell]  1 Pt 2.00, 1 Hg 2.06

Excess energy over the best structure of this formula in the dataset ... 0.212 eV per atom


Record 3
A plane-wave DFT calculation with PBE was carried out for HgPtSO after structural relaxation.

Lattice parameters (Å, degrees): 6.0617 8.0088 5.6476 90.00 90.00 90.00
Closest atoms and distances in Å follow each position.
Space group Pca2_1 (No. 29)
Inequivalent atoms, fractional coordinates:
Hg (0.0047, 0.1956, 0.0000) [4 per cell]  2 S 2.53-2.59, 2 Pt 2.72
Pt (0.1186, 0.3662, 0.6025) [4 per cell]  3 O 2.05-2.19, 1 S 2.29
S (0.0845, 0.8447, 0.9348) [4 per cell]  1 Pt 2.29, 1 Hg 2.53
O (0.1537, 0.5073, 0.2825) [4 per cell]  3 Pt 2.05-2.19

Excess energy over the best structure of this formula in the dataset ... 0.078 eV per atom


In the order shown, the computed uncorrected energy values come out to -28.01; -30.28; -62.69 eV for the cell shown.